A plane-wave DFT calculation with PBE was carried out for BaLi3Ga2 after structural relaxation.

Cell: 5.831 5.831 4.741 Å, 90.00 90.00 120.00°
Fractional positions:
Ba (0.000, 0.000, 0.000)
Li (0.000, 0.500, 0.500)
Li (0.500, 0.000, 0.500)
Li (0.500, 0.500, 0.500)
Ga (0.333, 0.667, 0.000)
Ga (0.667, 0.333, 0.000)

Summary:
Energy of formation, eV/atom: -0.223
Distance to the lowest polymorph of the same formula, meV/atom: 18

=====

A plane-wave DFT calculation with PBE was carried out for Dy2VP after structural relaxation.

Cell: 9.424 9.424 9.424 Å, 22.46 22.46 22.46°
Fractional positions:
Dy (0.106, 0.106, 0.106)
Dy (0.894, 0.894, 0.894)
V (0.000, 0.000, 0.000)
P (0.500, 0.500, 0.500)

Summary:
Energy of formation, eV/atom: 0.016

=====

A plane-wave DFT calculation with PBE was carried out for NbTe2C2 after structural relaxation.

Cell: 7.487 7.487 3.240 Å, 90.00 90.00 90.00°
Fractional positions:
Nb (0.000, 0.000, 0.000)
Nb (0.500, 0.500, 0.000)
Te (0.154, 0.346, 0.000)
Te (0.346, 0.846, 0.000)
Te (0.654, 0.154, 0.000)
Te (0.846, 0.654, 0.000)
C (0.210, 0.710, 0.500)
C (0.290, 0.210, 0.500)
C (0.710, 0.790, 0.500)
C (0.790, 0.290, 0.500)

Summary:
Uncorrected formation energy, meV/atom: 1695
Distance to the lowest polymorph of the same formula, meV/atom: 0

=====

A plane-wave DFT calculation with PBE was carried out for Hg2OsBr after structural relaxation.

Cell: 7.331 7.331 7.331 Å, 156.89 144.29 42.97°
Fractional positions:
Hg (0.184, 0.184, 0.000)
Hg (0.816, 0.816, 0.000)
Os (0.000, 0.500, 0.500)
Br (0.500, 0.000, 0.500)

Summary:
Uncorrected formation energy, meV/atom: 773
Distance to the lowest polymorph of the same formula, meV/atom: 194

=====

A plane-wave DFT calculation with PBE was carried out for CaCe2Y after structural relaxation.

Cell: 12.852 12.852 12.852 Å, 15.39 15.39 15.39°
Fractional positions:
Ca (0.000, 0.000, 0.000)
Ce (0.089, 0.089, 0.089)
Ce (0.911, 0.911, 0.911)
Y (0.500, 0.500, 0.500)

Summary:
Energy of formation, eV/atom: 0.255

=====

A plane-wave DFT calculation with PBE was carried out for PrPuInSn after structural relaxation.

Cell: 5.444 5.444 5.444 Å, 60.00 60.00 60.00°
Fractional positions:
Pr (0.000, 0.000, 0.000)
Pu (0.500, 0.500, 0.500)
In (0.250, 0.250, 0.250)
Sn (0.750, 0.750, 0.750)

Summary:
Energy of formation, eV/atom: -0.350

=====

A plane-wave DFT calculation with PBE was carried out for La2NiAs after structural relaxation.

Cell: 6.616 6.616 6.616 Å, 109.97 109.97 108.48°
Fractional positions:
La (0.102, 0.625, 0.977)
La (0.375, 0.352, 0.477)
La (0.648, 0.125, 0.023)
La (0.875, 0.898, 0.523)
Ni (0.000, 0.000, 0.000)
Ni (0.750, 0.250, 0.500)
As (0.250, 0.750, 0.500)
As (0.500, 0.500, 0.000)

Summary:
Energy of formation, eV/atom: -0.561

=====

A plane-wave DFT calculation with PBE was carried out for SrFeHg2 after structural relaxation.

Cell: 7.574 7.574 7.574 Å, 152.49 148.84 42.04°
Fractional positions:
Sr (0.000, 0.000, 0.000)
Fe (0.800, 0.300, 0.500)
Hg (0.309, 0.809, 0.500)
Hg (0.641, 0.641, 0.000)

Summary:
Energy of formation, eV/atom: 0.150

=====

A plane-wave DFT calculation with PBE was carried out for Tc2Pb after structural relaxation.

Cell: 7.379 7.379 4.700 Å, 90.00 90.00 155.98°
Fractional positions:
Tc (0.055, 0.945, 0.750)
Tc (0.285, 0.715, 0.250)
Tc (0.715, 0.285, 0.750)
Tc (0.945, 0.055, 0.250)
Pb (0.389, 0.611, 0.750)
Pb (0.611, 0.389, 0.250)

Summary:
Energy of formation, eV/atom: 0.647
Distance to the lowest polymorph of the same formula, meV/atom: 283

=====

A plane-wave DFT calculation with PBE was carried out for MgPaPd4 after structural relaxation.

Cell: 7.990 7.990 5.153 Å, 98.09 98.09 133.79°
Fractional positions:
Mg (0.134, 0.866, 0.750)
Mg (0.866, 0.134, 0.250)
Pa (0.384, 0.616, 0.250)
Pa (0.616, 0.384, 0.750)
Pd (0.031, 0.467, 0.750)
Pd (0.190, 0.250, 0.722)
Pd (0.250, 0.190, 0.222)
Pd (0.467, 0.031, 0.250)
Pd (0.533, 0.969, 0.750)
Pd (0.750, 0.810, 0.778)
Pd (0.810, 0.750, 0.278)
Pd (0.969, 0.533, 0.250)

Summary:
Energy of formation, eV/atom: -0.466

=====

A plane-wave DFT calculation with PBE was carried out for Pa5Ge4As after structural relaxation.

Cell: 10.914 10.914 10.914 Å, 158.18 148.99 38.24°
Fractional positions:
Pa (0.000, 0.000, 0.000)
Pa (0.200, 0.200, 0.000)
Pa (0.400, 0.400, 0.000)
Pa (0.600, 0.600, 0.000)
Pa (0.800, 0.800, 0.000)
Ge (0.100, 0.600, 0.500)
Ge (0.300, 0.800, 0.500)
Ge (0.700, 0.200, 0.500)
Ge (0.900, 0.400, 0.500)
As (0.500, 0.000, 0.500)

Summary:
Energy of formation, eV/atom: -0.564

=====

A plane-wave DFT calculation with PBE was carried out for ScTi after structural relaxation.

Cell: 4.522 4.522 4.522 Å, 60.00 60.00 60.00°
Fractional positions:
Sc (0.000, 0.000, 0.000)
Ti (0.750, 0.750, 0.750)

Summary:
Energy of formation, eV/atom: 2.099
Distance to the lowest polymorph of the same formula, meV/atom: 2014

=====

| no. | E_tot (eV/atom) | Fermi-level density of states (states/eV per atom) |
| --- | --- | --- |
| 1 | -2.51 | 0.4598 |
| 2 | -5.92 | 1.4202 |
| 3 | -5.27 | 0.5715 |
| 4 | -2.60 | 0.6239 |
| 5 | -4.83 | 3.0685 |
| 6 | -6.81 | 2.8756 |
| 7 | -5.63 | 0.8279 |
| 8 | -2.54 | 0.9368 |
| 9 | -7.50 | 1.1360 |
| 10 | -5.78 | 0.6441 |
| 11 | -7.62 | 1.4991 |
| 12 | -5.01 | 2.2748 |